Compound: USiPd
Source: the Alexandria database
Functional: PBE
Structure: relaxed

Values from the calculation:
ΔE_f (raw)   -1.4 eV/f.u.

a = 3.506 Å, b = 4.330 Å, c = 4.330 Å
α = 120.00°, β = 90.00°, γ = 90.00°
Each line ends with the local moment (μB).
Fractional coordinates of all 3 atoms:
Si  0.167  0.000  0.000  -0.04
U  0.667  0.333  0.667  1.89
Pd  0.167  0.667  0.333  -0.05


Compound: USi2Pd
Source: the Alexandria database
Functional: PBE
Structure: relaxed

Values from the calculation:
ΔE_f (raw)   -0.7 eV/f.u.

a = 2.872 Å, b = 2.872 Å, c = 9.161 Å
α = 80.98°, β = 80.98°, γ = 60.00°
Fractional coordinates of all 4 atoms:
Si  0.742  0.742  0.775
Si  0.258  0.258  0.225
U  0.500  0.500  0.500
Pd  0.000  0.000  0.000